No. 1
SmGdGa5 | the Open Quantum Materials Database | PBE | relaxed; energy = -3.923 eV/atom
1.0
4.282 0.000 0.000
0.000 4.282 0.000
0.000 0.000 8.405
Ga Gd Sm
5 1 1
Cartesian
2.141 2.141 0.000
2.141 0.000 2.139
0.000 2.141 2.139
2.141 0.000 6.266
0.000 2.141 6.266
0.000 0.000 4.202
0.000 0.000 0.000



No. 2
Sm2Gd2TlGa | the Open Quantum Materials Database | PBE | relaxed; energy = -4.329 eV/atom
1.0
5.380 0.000 0.000
-2.690 4.659 0.000
0.000 0.000 6.753
Ga Gd Sm Tl
1 2 2 1
Cartesian
0.000 0.000 0.000
2.690 1.553 1.657
2.690 1.553 5.096
0.000 3.106 0.000
0.000 0.000 3.376
0.000 3.106 3.376



No. 3
SmGd2TmGa2 | the Open Quantum Materials Database | PBE | relaxed; energy = -4.469 eV/atom
1.0
-4.630 -2.319 0.310
4.318 -2.859 -0.292
0.447 -0.003 6.647
Ga Gd Sm Tm
2 2 1 1
Cartesian
0.000 0.000 0.000
1.559 -2.681 3.233
-1.538 -2.500 1.732
-1.309 -2.501 5.134
0.224 -0.001 3.323
1.336 -2.679 -0.091



No. 4
SrGdGaTe3 | the Open Quantum Materials Database | PBE | relaxed; energy = -4.159 eV/atom
1.0
2.803 7.595 -0.582
-5.032 -5.701 -2.838
-7.800 3.413 6.973
Ga Gd Sr Te
2 2 2 6
Cartesian
-6.865 -4.649 -1.061
-3.164 9.955 4.615
-1.114 0.947 -1.710
-5.014 2.653 1.777
-1.231 4.911 0.561
-8.798 0.396 2.992
-4.291 -3.657 -2.189
-3.911 0.363 -0.211
-7.454 -2.273 0.638
-2.575 7.580 2.915
-6.117 4.944 3.764
-5.738 8.964 5.743



No. 5
GdGaTc | the Open Quantum Materials Database | PBE | relaxed; energy = -5.872 eV/atom
1.0
0.000 3.183 3.183
3.183 0.000 3.183
3.183 3.183 0.000
Ga Gd Tc
1 1 1
Cartesian
0.000 0.000 0.000
1.591 1.591 1.591
4.774 4.774 4.774



No. 6
GdGaTe | the Open Quantum Materials Database | PBE | relaxed; distance to the lowest polymorph of the same formula = 0.035 eV/atom
1.0
0.000 3.578 3.578
3.578 0.000 3.578
3.578 3.578 0.000
Ga Gd Te
1 1 1
Cartesian
1.789 1.789 1.789
0.000 0.000 0.000
5.368 5.368 5.368



No. 7
GdGaTe | the Open Quantum Materials Database | PBE | relaxed; distance to the lowest polymorph of the same formula = 0.000 eV/atom
1.0
0.000 3.576 3.576
3.576 0.000 3.576
3.576 3.576 0.000
Ga Gd Te
1 1 1
Cartesian
1.788 1.788 1.788
5.365 5.365 5.365
0.000 0.000 0.000



No. 8
Gd2TlZn2Ga | the Open Quantum Materials Database | PBE | relaxed; energy = -3.331 eV/atom
1.0
4.572 0.000 0.000
-2.286 3.960 0.000
0.000 0.000 7.348
Ga Gd Tl Zn
1 2 1 2
Cartesian
0.000 2.640 7.064
2.286 1.320 1.750
2.286 1.320 5.539
0.000 0.000 3.411
0.000 0.000 0.205
0.000 2.640 4.074



No. 9
GdTm2Ga | the Open Quantum Materials Database | PBE | relaxed; distance to the lowest polymorph of the same formula = 0.011 eV/atom
1.0
-2.660 5.806 -2.198
1.372 -0.858 6.557
4.789 1.910 -0.752
Ga Gd Tm
2 2 4
Cartesian
-0.804 5.195 -0.955
4.305 1.663 4.563
1.264 1.777 3.534
2.237 5.080 0.073
0.542 2.231 0.093
-0.133 4.824 2.377
3.634 2.034 1.230
2.959 4.627 3.514



No. 10
Gd2Tm5Ga | the Open Quantum Materials Database | PBE | relaxed; energy = -4.393 eV/atom
1.0
-4.822 2.315 -1.022
-3.208 -5.163 3.437
-1.185 0.559 6.859
Ga Gd Tm
1 2 5
Cartesian
-0.720 -0.755 1.688
-3.850 -0.351 2.862
-2.949 -3.091 6.911
-2.347 -3.385 3.404
-5.502 -3.006 4.639
-1.308 -0.445 5.162
-6.076 -2.684 8.080
-4.464 -0.070 6.395



No. 11
GdTm2Ga | the Open Quantum Materials Database | PBE | relaxed; distance to the lowest polymorph of the same formula = 0.101 eV/atom
1.0
5.180 0.000 0.000
0.000 3.476 5.969
0.000 -3.476 5.969
Ga Gd Tm
2 2 4
Cartesian
0.000 1.861 6.848
0.000 -1.861 6.848
0.000 0.000 4.102
2.590 0.000 7.815
2.590 0.000 1.918
2.590 1.756 5.087
2.590 -1.756 5.087
0.000 0.000 10.048



No. 12
Gd2TmGa5 | the Open Quantum Materials Database | PBE | relaxed; energy = -4.075 eV/atom
1.0
4.795 0.000 0.000
0.000 3.344 5.332
0.000 -3.344 5.332
Ga Gd Tm
5 2 1
Cartesian
0.000 1.740 4.394
2.398 1.736 6.239
0.000 -1.740 4.394
2.398 -1.736 6.239
2.398 0.000 9.076
2.398 0.000 3.736
0.000 0.000 7.088
0.000 0.000 1.492



No. 13
GdTm2Ga | the Open Quantum Materials Database | PBE | relaxed; distance to the lowest polymorph of the same formula = 0.000 eV/atom
1.0
-1.727 -0.303 4.541
6.164 -1.396 2.250
-0.371 6.692 0.306
Ga Gd Tm
2 2 4
Cartesian
2.150 -0.203 2.108
-1.025 2.506 3.691
2.083 1.273 4.790
1.471 3.250 2.081
5.283 -0.340 3.290
4.712 2.932 3.292
2.274 4.730 5.094
-0.682 5.821 4.043



No. 14
GdGaW | the Open Quantum Materials Database | PBE | relaxed; energy = -6.321 eV/atom
1.0
0.000 3.218 3.218
3.218 0.000 3.218
3.218 3.218 0.000
Ga Gd W
1 1 1
Cartesian
0.000 0.000 0.000
1.609 1.609 1.609
4.827 4.827 4.827



No. 15
GdY2Ga | the Open Quantum Materials Database | PBE | relaxed; distance to the lowest polymorph of the same formula = 0.114 eV/atom
1.0
-3.503 3.286 2.038
-1.424 -4.632 5.020
3.642 0.192 5.949
Ga Gd Y
2 2 4
Cartesian
-0.024 -3.784 6.059
2.570 -1.314 6.534
0.763 -1.527 3.773
-0.302 -1.259 8.189
-1.398 0.936 2.767
-2.061 -1.446 5.468
0.450 0.945 5.928
1.867 -3.737 9.233



No. 16
GdYGa2 | the Open Quantum Materials Database | PBE | relaxed; distance to the lowest polymorph of the same formula = 0.292 eV/atom
1.0
-1.100 1.248 4.805
3.916 -4.976 2.189
6.521 0.874 1.266
Ga Gd Y
4 2 2
Cartesian
1.023 0.006 2.923
3.401 -2.398 4.092
4.514 0.103 3.697
8.732 -3.431 2.890
3.328 -1.308 1.101
6.773 -2.254 4.826
5.206 -3.849 2.192
6.573 -0.780 1.707



No. 17
GdY2Ga | the Open Quantum Materials Database | PBE | relaxed; distance to the lowest polymorph of the same formula = 0.000 eV/atom
1.0
4.894 0.000 0.000
0.000 5.318 4.248
0.000 -5.318 4.248
Ga Gd Y
2 2 4
Cartesian
1.223 1.877 2.120
3.670 -1.877 2.120
3.670 1.205 3.848
1.223 -1.205 3.848
1.223 4.121 4.652
1.223 1.282 6.373
3.670 -1.282 6.373
3.670 -4.121 4.652



No. 18
GdYGa2 | the Open Quantum Materials Database | PBE | relaxed; distance to the lowest polymorph of the same formula = 0.000 eV/atom
1.0
-2.725 -2.916 -0.787
-2.007 0.387 5.515
-4.125 3.090 2.833
Ga Gd Y
2 1 1
Cartesian
-1.834 -1.191 0.248
-5.663 3.211 7.709
-3.573 -0.205 2.616
-3.920 2.223 5.336



No. 19
Gd2Y3Ga3 | the Open Quantum Materials Database | PBE | relaxed; distance to the lowest polymorph of the same formula = 0.000 eV/atom
1.0
-4.226 3.609 -3.270
-3.715 -1.382 3.276
2.927 3.371 4.741
Ga Gd Y
3 2 3
Cartesian
-0.911 1.760 -0.291
-1.986 5.268 -0.030
-2.027 4.498 3.634
-3.489 2.820 1.269
0.289 3.644 1.865
-3.228 3.371 -2.239
-1.395 1.071 2.906
0.123 2.724 5.325



No. 20
Gd2Y5Ga | the Open Quantum Materials Database | PBE | relaxed; energy = -5.628 eV/atom
1.0
5.518 0.000 0.000
0.000 3.541 6.134
0.000 -3.541 6.134
Ga Gd Y
1 2 5
Cartesian
2.759 0.000 2.024
0.000 0.000 4.000
2.759 0.000 8.236
2.759 1.812 5.088
0.000 1.834 7.207
2.759 -1.812 5.088
0.000 0.000 10.225
0.000 -1.834 7.207